No. 1
# Dy12Y2Mg PBE relaxed
# N(E_F): 1.32 states/eV/atom
data_Dy12Y2Mg
_chemical_formula_sum 'Dy24 Y4 Mg2'
_cell_length_a 6.645
_cell_length_b 6.645
_cell_length_c 24.203
_cell_angle_alpha 85.21
_cell_angle_beta 85.21
_cell_angle_gamma 116.31
_space_group_name_H-M_alt 'P 1'
_space_group_IT_number 1
loop_
_space_group_symop_operation_xyz
'x,y,z'
loop_
_atom_site_label
_atom_site_type_symbol
_atom_site_fract_x
_atom_site_fract_y
_atom_site_fract_z
_atom_site_occupancy
Dy1 Dy 0.523 0.538 0.673 1
Dy2 Dy 0.621 0.558 0.195 1
Dy3 Dy 0.733 0.233 0.892 1
Dy4 Dy 0.058 0.121 0.195 1
Dy5 Dy 0.344 0.390 0.066 1
Dy6 Dy 0.834 0.855 0.556 1
Dy7 Dy 0.323 0.823 0.579 1
Dy8 Dy 0.247 0.747 0.151 1
Dy9 Dy 0.038 0.023 0.673 1
Dy10 Dy 0.767 0.267 0.108 1
Dy11 Dy 0.651 0.151 0.430 1
Dy12 Dy 0.156 0.110 0.934 1
Dy13 Dy 0.145 0.166 0.444 1
Dy14 Dy 0.666 0.645 0.444 1
Dy15 Dy 0.610 0.656 0.934 1
Dy16 Dy 0.879 0.942 0.805 1
Dy17 Dy 0.355 0.334 0.556 1
Dy18 Dy 0.442 0.379 0.805 1
Dy19 Dy 0.462 0.477 0.327 1
Dy20 Dy 0.890 0.844 0.066 1
Dy21 Dy 0.253 0.753 0.849 1
Dy22 Dy 0.849 0.349 0.570 1
Dy23 Dy 0.977 0.962 0.327 1
Dy24 Dy 0.177 0.677 0.421 1
Y1 Y 0.515 0.015 0.712 1
Y2 Y 0.508 0.008 0.266 1
Y3 Y 0.992 0.492 0.734 1
Y4 Y 0.985 0.485 0.288 1
Mg1 Mg 0.455 0.955 0.017 1
Mg2 Mg 0.045 0.545 0.983 1

---

No. 2
# Dy3Y2Mg PBE relaxed
# N(E_F): 1.10 states/eV/atom
data_Dy3Y2Mg
_chemical_formula_sum 'Dy6 Y4 Mg2'
_cell_length_a 6.186
_cell_length_b 6.949
_cell_length_c 9.198
_cell_angle_alpha 90.01
_cell_angle_beta 109.65
_cell_angle_gamma 90.00
_space_group_name_H-M_alt 'P 1'
_space_group_IT_number 1
loop_
_space_group_symop_operation_xyz
'x,y,z'
loop_
_atom_site_label
_atom_site_type_symbol
_atom_site_fract_x
_atom_site_fract_y
_atom_site_fract_z
_atom_site_occupancy
Dy1 Dy 0.860 0.500 0.720 1
Dy2 Dy 0.696 0.250 0.000 1
Dy3 Dy 0.304 0.750 0.000 1
Dy4 Dy 0.140 0.000 0.280 1
Dy5 Dy 0.860 0.000 0.720 1
Dy6 Dy 0.140 0.500 0.280 1
Y1 Y 0.324 0.750 0.630 1
Y2 Y 0.694 0.750 0.370 1
Y3 Y 0.306 0.250 0.630 1
Y4 Y 0.676 0.250 0.370 1
Mg1 Mg 0.204 0.250 0.000 1
Mg2 Mg 0.796 0.750 0.000 1

---

No. 3
# Dy5Y12Mg PBE relaxed
# N(E_F): 1.56 states/eV/atom
data_Dy5Y12Mg
_chemical_formula_sum 'Dy5 Y12 Mg1'
_cell_length_a 15.014
_cell_length_b 10.638
_cell_length_c 5.039
_cell_angle_alpha 89.99
_cell_angle_beta 89.99
_cell_angle_gamma 45.13
_space_group_name_H-M_alt 'P 1'
_space_group_IT_number 1
loop_
_space_group_symop_operation_xyz
'x,y,z'
loop_
_atom_site_label
_atom_site_type_symbol
_atom_site_fract_x
_atom_site_fract_y
_atom_site_fract_z
_atom_site_occupancy
Dy1 Dy 0.335 0.331 0.000 1
Dy2 Dy 0.665 0.669 0.000 1
Dy3 Dy 0.500 0.000 0.500 1
Dy4 Dy 0.830 0.341 0.500 1
Dy5 Dy 0.170 0.659 0.500 1
Y1 Y 0.330 0.669 0.000 1
Y2 Y 0.500 0.335 0.500 1
Y3 Y 0.835 0.000 0.500 1
Y4 Y 0.334 0.000 0.000 1
Y5 Y 0.998 0.331 0.000 1
Y6 Y 0.835 0.665 0.500 1
Y7 Y 0.165 0.000 0.500 1
Y8 Y 0.500 0.665 0.500 1
Y9 Y 0.165 0.335 0.500 1
Y10 Y 0.670 0.331 0.000 1
Y11 Y 0.666 0.000 0.000 1
Y12 Y 0.002 0.669 0.000 1
Mg1 Mg 0.000 0.000 0.000 1

---

No. 4
# Dy5Y4Mg PBE relaxed
# N(E_F): 1.37 states/eV/atom
# E above lowest polymorph: 0.00 eV per formula unit
data_Dy5Y4Mg
_chemical_formula_sum 'Dy5 Y4 Mg1'
_cell_length_a 3.567
_cell_length_b 3.567
_cell_length_c 24.375
_cell_angle_alpha 90.00
_cell_angle_beta 90.00
_cell_angle_gamma 90.00
_space_group_name_H-M_alt 'P 1'
_space_group_IT_number 1
loop_
_space_group_symop_operation_xyz
'x,y,z'
loop_
_atom_site_label
_atom_site_type_symbol
_atom_site_fract_x
_atom_site_fract_y
_atom_site_fract_z
_atom_site_occupancy
Y1 Y 0.000 0.000 0.810 1
Y2 Y 0.000 0.000 0.397 1
Y3 Y 0.000 0.000 0.603 1
Y4 Y 0.000 0.000 0.190 1
Dy1 Dy 0.500 0.500 0.294 1
Dy2 Dy 0.500 0.500 0.089 1
Dy3 Dy 0.500 0.500 0.911 1
Dy4 Dy 0.500 0.500 0.706 1
Dy5 Dy 0.500 0.500 0.500 1
Mg1 Mg 0.000 0.000 0.000 1

---

No. 5
# Dy4Y3Mg2 PBE relaxed
# N(E_F): 1.33 states/eV/atom
data_Dy4Y3Mg2
_chemical_formula_sum 'Dy4 Y3 Mg2'
_cell_length_a 4.929
_cell_length_b 7.832
_cell_length_c 7.818
_cell_angle_alpha 107.74
_cell_angle_beta 108.37
_cell_angle_gamma 90.00
_space_group_name_H-M_alt 'P 1'
_space_group_IT_number 1
loop_
_space_group_symop_operation_xyz
'x,y,z'
loop_
_atom_site_label
_atom_site_type_symbol
_atom_site_fract_x
_atom_site_fract_y
_atom_site_fract_z
_atom_site_occupancy
Mg1 Mg 0.669 0.999 0.337 1
Mg2 Mg 0.331 0.001 0.663 1
Y1 Y 0.112 0.668 0.225 1
Y2 Y 0.000 0.000 0.000 1
Y3 Y 0.888 0.332 0.775 1
Dy1 Dy 0.556 0.335 0.113 1
Dy2 Dy 0.221 0.330 0.442 1
Dy3 Dy 0.779 0.670 0.558 1
Dy4 Dy 0.444 0.665 0.887 1

---

No. 6
# Dy2Y2Mg PBE relaxed
# N(E_F): 1.53 states/eV/atom
# E above lowest polymorph: 0.00 eV per formula unit
data_Dy2Y2Mg
_chemical_formula_sum 'Dy4 Y4 Mg2'
_cell_length_a 4.838
_cell_length_b 7.077
_cell_length_c 10.579
_cell_angle_alpha 120.09
_cell_angle_beta 103.22
_cell_angle_gamma 90.00
_space_group_name_H-M_alt 'P 1'
_space_group_IT_number 1
loop_
_space_group_symop_operation_xyz
'x,y,z'
loop_
_atom_site_label
_atom_site_type_symbol
_atom_site_fract_x
_atom_site_fract_y
_atom_site_fract_z
_atom_site_occupancy
Dy1 Dy 0.797 0.945 0.593 1
Dy2 Dy 0.797 0.445 0.593 1
Dy3 Dy 0.203 0.555 0.407 1
Dy4 Dy 0.203 0.055 0.407 1
Y1 Y 0.403 0.854 0.806 1
Y2 Y 0.403 0.354 0.806 1
Y3 Y 0.597 0.146 0.194 1
Y4 Y 0.597 0.646 0.194 1
Mg1 Mg 0.000 0.250 0.000 1
Mg2 Mg 0.000 0.750 0.000 1

---

No. 7
# DyY3Mg4 PBE relaxed
# N(E_F): 1.41 states/eV/atom
data_DyY3Mg4
_chemical_formula_sum 'Dy1 Y3 Mg4'
_cell_length_a 3.799
_cell_length_b 3.799
_cell_length_c 15.200
_cell_angle_alpha 90.00
_cell_angle_beta 90.00
_cell_angle_gamma 90.00
_space_group_name_H-M_alt 'P 1'
_space_group_IT_number 1
loop_
_space_group_symop_operation_xyz
'x,y,z'
loop_
_atom_site_label
_atom_site_type_symbol
_atom_site_fract_x
_atom_site_fract_y
_atom_site_fract_z
_atom_site_occupancy
Mg1 Mg 0.000 0.000 0.625 1
Mg2 Mg 0.000 0.000 0.124 1
Mg3 Mg 0.000 0.000 0.876 1
Mg4 Mg 0.000 0.000 0.375 1
Y1 Y 0.500 0.500 0.500 1
Y2 Y 0.500 0.500 0.751 1
Y3 Y 0.500 0.500 0.249 1
Dy1 Dy 0.500 0.500 0.000 1

---

No. 8
# Dy4YMg5 PBE relaxed
# N(E_F): 1.43 states/eV/atom
data_Dy4YMg5
_chemical_formula_sum 'Dy4 Y1 Mg5'
_cell_length_a 3.795
_cell_length_b 3.795
_cell_length_c 18.904
_cell_angle_alpha 90.00
_cell_angle_beta 90.00
_cell_angle_gamma 90.00
_space_group_name_H-M_alt 'P 1'
_space_group_IT_number 1
loop_
_space_group_symop_operation_xyz
'x,y,z'
loop_
_atom_site_label
_atom_site_type_symbol
_atom_site_fract_x
_atom_site_fract_y
_atom_site_fract_z
_atom_site_occupancy
Mg1 Mg 0.500 0.500 0.500 1
Mg2 Mg 0.500 0.500 0.899 1
Mg3 Mg 0.500 0.500 0.101 1
Mg4 Mg 0.500 0.500 0.700 1
Mg5 Mg 0.500 0.500 0.300 1
Y1 Y 0.000 0.000 0.000 1
Dy1 Dy 0.000 0.000 0.201 1
Dy2 Dy 0.000 0.000 0.600 1
Dy3 Dy 0.000 0.000 0.400 1
Dy4 Dy 0.000 0.000 0.799 1

---

No. 9
# Dy3YMg8 PBE relaxed
# N(E_F): 1.13 states/eV/atom
data_Dy3YMg8
_chemical_formula_sum 'Dy3 Y1 Mg8'
_cell_length_a 6.068
_cell_length_b 6.068
_cell_length_c 9.761
_cell_angle_alpha 90.00
_cell_angle_beta 90.00
_cell_angle_gamma 120.00
_space_group_name_H-M_alt 'P 1'
_space_group_IT_number 1
loop_
_space_group_symop_operation_xyz
'x,y,z'
loop_
_atom_site_label
_atom_site_type_symbol
_atom_site_fract_x
_atom_site_fract_y
_atom_site_fract_z
_atom_site_occupancy
Mg1 Mg 0.333 0.667 0.000 1
Mg2 Mg 0.675 0.837 0.250 1
Mg3 Mg 0.163 0.325 0.250 1
Mg4 Mg 0.992 0.496 0.750 1
Mg5 Mg 0.163 0.837 0.250 1
Mg6 Mg 0.504 0.496 0.750 1
Mg7 Mg 0.333 0.667 0.500 1
Mg8 Mg 0.504 0.008 0.750 1
Y1 Y 0.000 0.000 0.565 1
Dy1 Dy 0.000 0.000 0.937 1
Dy2 Dy 0.667 0.333 0.434 1
Dy3 Dy 0.667 0.333 0.064 1

---

No. 10
# DyYMg PBE relaxed
# N(E_F): 1.24 states/eV/atom
# E above lowest polymorph: 0.25 eV per formula unit
data_DyYMg
_chemical_formula_sum 'Dy2 Y2 Mg2'
_cell_length_a 5.387
_cell_length_b 3.464
_cell_length_c 10.065
_cell_angle_alpha 69.91
_cell_angle_beta 89.99
_cell_angle_gamma 90.00
_space_group_name_H-M_alt 'P 1'
_space_group_IT_number 1
loop_
_space_group_symop_operation_xyz
'x,y,z'
loop_
_atom_site_label
_atom_site_type_symbol
_atom_site_fract_x
_atom_site_fract_y
_atom_site_fract_z
_atom_site_occupancy
Y1 Y 0.477 0.386 0.921 1
Y2 Y 0.977 0.898 0.408 1
Mg1 Mg 0.977 0.719 0.084 1
Mg2 Mg 0.476 0.564 0.244 1
Dy1 Dy 0.977 0.060 0.748 1
Dy2 Dy 0.477 0.225 0.580 1

---

No. 11
# Dy8Y6Mg PBE relaxed
# N(E_F): 1.40 states/eV/atom
# E above lowest polymorph: 0.72 eV per formula unit
data_Dy8Y6Mg
_chemical_formula_sum 'Dy8 Y6 Mg1'
_cell_length_a 6.274
_cell_length_b 9.392
_cell_length_c 9.392
_cell_angle_alpha 120.00
_cell_angle_beta 90.00
_cell_angle_gamma 90.00
_space_group_name_H-M_alt 'P 1'
_space_group_IT_number 1
loop_
_space_group_symop_operation_xyz
'x,y,z'
loop_
_atom_site_label
_atom_site_type_symbol
_atom_site_fract_x
_atom_site_fract_y
_atom_site_fract_z
_atom_site_occupancy
Dy1 Dy 0.185 0.771 0.039 1
Dy2 Dy 0.185 0.961 0.732 1
Dy3 Dy 0.815 0.732 0.771 1
Dy4 Dy 0.815 0.229 0.961 1
Dy5 Dy 0.183 0.667 0.333 1
Dy6 Dy 0.815 0.039 0.268 1
Dy7 Dy 0.817 0.333 0.667 1
Dy8 Dy 0.185 0.268 0.229 1
Y1 Y 0.316 0.092 0.451 1
Y2 Y 0.684 0.451 0.359 1
Y3 Y 0.316 0.549 0.641 1
Y4 Y 0.316 0.359 0.908 1
Y5 Y 0.684 0.641 0.092 1
Y6 Y 0.684 0.908 0.549 1
Mg1 Mg 0.500 0.000 0.000 1

---

No. 12
# Dy4Y3Mg PBE relaxed
# N(E_F): 1.76 states/eV/atom
# E above lowest polymorph: 1.70 eV per formula unit
data_Dy4Y3Mg
_chemical_formula_sum 'Dy4 Y3 Mg1'
_cell_length_a 7.334
_cell_length_b 7.334
_cell_length_c 7.334
_cell_angle_alpha 106.78
_cell_angle_beta 93.62
_cell_angle_gamma 130.40
_space_group_name_H-M_alt 'P 1'
_space_group_IT_number 1
loop_
_space_group_symop_operation_xyz
'x,y,z'
loop_
_atom_site_label
_atom_site_type_symbol
_atom_site_fract_x
_atom_site_fract_y
_atom_site_fract_z
_atom_site_occupancy
Dy1 Dy 0.273 0.674 0.947 1
Dy2 Dy 0.273 0.326 0.599 1
Dy3 Dy 0.999 0.753 0.247 1
Dy4 Dy 0.494 0.247 0.247 1
Mg1 Mg 0.009 0.500 0.509 1
Y1 Y 0.587 0.813 0.400 1
Y2 Y 0.587 0.187 0.774 1
Y3 Y 0.928 0.000 0.928 1

---

Results for DFT formation energy: 102; 61; 25; 3; 8; 13; -103; -85; -74; 5; 140; 426 (in meV per atom, following the order of the records).
Results for calculated total energy: -4.5480; -4.6606; -5.6509; -5.0429; -4.5465; -4.7319; -3.8994; -3.3694; -2.8262; -4.2154; -5.0060; -4.4984 (in eV/atom, following the order of the records).
Results for spin magnetization: 0.000; 0.000; 0.000; 0.000; 0.000; 0.000; 0.000; 0.000; 0.000; 0.000; 0.000; 0.000 (in μB per formula unit, following the order of the records).